{"formula": "Li3Cd3Sn", "functional": "PBE", "state": "optimized geometry", "magnetic_moment_mub_per_fu": 0.000, "ef_mev_per_atom": -199, "n_ef_per_ev_cell": 11.35, "lattice": [[8.3471, 0.0000, 0.0000], [0.0000, 8.3471, 0.0000], [0.0000, 0.0000, 8.3471]], "species": ["Li", "Li", "Li", "Li", "Li", "Li", "Li", "Li", "Li", "Li", "Li", "Li", "Cd", "Cd", "Cd", "Cd", "Cd", "Cd", "Cd", "Cd", "Cd", "Cd", "Cd", "Cd", "Sn", "Sn", "Sn", "Sn"], "fractional_positions": [[0.0348, 0.3181, 0.8669], [0.1331, 0.5348, 0.1819], [0.1819, 0.1331, 0.5348], [0.3181, 0.8669, 0.0348], [0.3669, 0.4652, 0.6819], [0.4652, 0.6819, 0.3669], [0.5348, 0.1819, 0.1331], [0.6331, 0.9652, 0.8181], [0.6819, 0.3669, 0.4652], [0.8181, 0.6331, 0.9652], [0.8669, 0.0348, 0.3181], [0.9652, 0.8181, 0.6331], [0.0406, 0.4594, 0.5406], [0.1565, 0.8435, 0.3435], [0.1628, 0.1628, 0.1628], [0.3372, 0.8372, 0.6628], [0.3435, 0.1565, 0.8435], [0.4594, 0.5406, 0.0406], [0.5406, 0.0406, 0.4594], [0.6565, 0.6565, 0.6565], [0.6628, 0.3372, 0.8372], [0.8372, 0.6628, 0.3372], [0.8435, 0.3435, 0.1565], [0.9594, 0.9594, 0.9594], [0.1376, 0.6376, 0.8624], [0.3624, 0.3624, 0.3624], [0.6376, 0.8624, 0.1376], [0.8624, 0.1376, 0.6376]]}


{"formula": "Li3CdSn", "functional": "PBE", "state": "optimized geometry", "magnetic_moment_mub_per_fu": 0.000, "ef_mev_per_atom": 65, "n_ef_per_ev_cell": 2.51, "lattice": [[5.1600, 0.0000, 0.0000], [0.0000, 5.1600, 0.0000], [0.0000, 0.0000, 5.1600]], "species": ["Li", "Li", "Li", "Cd", "Sn"], "fractional_positions": [[0.0000, 0.0000, 0.5000], [0.0000, 0.5000, 0.0000], [0.5000, 0.0000, 0.0000], [0.5000, 0.5000, 0.5000], [0.0000, 0.0000, 0.0000]]}


{"formula": "Li2CdSn", "functional": "PBE", "state": "optimized geometry", "magnetic_moment_mub_per_fu": 0.000, "ef_mev_per_atom": -205, "n_ef_per_ev_cell": 1.72, "lattice": [[1.6095, 0.9293, 9.3145], [-1.6095, 0.9293, 9.3145], [0.0000, -1.8585, 9.3145]], "species": ["Li", "Li", "Cd", "Sn"], "fractional_positions": [[0.0000, 0.0000, 0.0000], [0.1619, 0.1619, 0.1619], [0.5818, 0.5818, 0.5818], [0.7473, 0.7473, 0.7473]]}


{"formula": "Li14CdSn", "functional": "PBE", "state": "optimized geometry", "magnetic_moment_mub_per_fu": 0.000, "ef_mev_per_atom": -130, "n_ef_per_ev_cell": 5.95, "lattice": [[6.9363, 0.0000, 0.0000], [0.0000, 6.9363, 0.0000], [0.0000, 0.0000, 6.2961]], "species": ["Li", "Li", "Li", "Li", "Li", "Li", "Li", "Li", "Li", "Li", "Li", "Li", "Li", "Li", "Cd", "Sn"], "fractional_positions": [[0.0000, 0.0000, 0.0000], [0.0000, 0.5000, 0.0000], [0.0000, 0.5000, 0.5000], [0.2504, 0.2504, 0.2636], [0.2504, 0.2504, 0.7364], [0.2504, 0.7496, 0.2636], [0.2504, 0.7496, 0.7364], [0.5000, 0.0000, 0.0000], [0.5000, 0.0000, 0.5000], [0.5000, 0.5000, 0.0000], [0.7496, 0.2504, 0.2636], [0.7496, 0.2504, 0.7364], [0.7496, 0.7496, 0.2636], [0.7496, 0.7496, 0.7364], [0.0000, 0.0000, 0.5000], [0.5000, 0.5000, 0.5000]]}


{"formula": "Li2Cd8Sn", "functional": "PBE", "state": "optimized geometry", "magnetic_moment_mub_per_fu": 0.000, "ef_mev_per_atom": -28, "n_ef_per_ev_cell": 2.66, "lattice": [[3.7934, -6.9095, 0.0000], [3.7934, 6.9095, 0.0000], [-2.4190, 0.0000, 4.8288]], "species": ["Li", "Li", "Cd", "Cd", "Cd", "Cd", "Cd", "Cd", "Cd", "Cd", "Sn"], "fractional_positions": [[0.1963, 0.8037, 0.0000], [0.8037, 0.1963, 0.0000], [0.0706, 0.0706, 0.2872], [0.1638, 0.4076, 0.8271], [0.2783, 0.7217, 0.5000], [0.4076, 0.1638, 0.8271], [0.5924, 0.8362, 0.1729], [0.7217, 0.2783, 0.5000], [0.8362, 0.5924, 0.1729], [0.9294, 0.9294, 0.7128], [0.5000, 0.5000, 0.5000]]}


{"formula": "Li3CdSn2", "functional": "PBE", "state": "optimized geometry", "magnetic_moment_mub_per_fu": 0.000, "ef_mev_per_atom": -295, "n_ef_per_ev_cell": 2.14, "lattice": [[3.2893, 0.0000, 0.0000], [0.0000, 3.2893, 0.0000], [0.0000, 0.0000, 10.9362]], "species": ["Li", "Li", "Li", "Cd", "Sn", "Sn"], "fractional_positions": [[0.0000, 0.0000, 0.0000], [0.0000, 0.0000, 0.3417], [0.0000, 0.0000, 0.6583], [0.5000, 0.5000, 0.5000], [0.5000, 0.5000, 0.1771], [0.5000, 0.5000, 0.8229]]}


{"formula": "Li4Cd2Sn3", "functional": "PBE", "state": "optimized geometry", "magnetic_moment_mub_per_fu": 0.000, "ef_mev_per_atom": -256, "n_ef_per_ev_cell": 2.38, "lattice": [[4.3525, 0.0000, 0.0000], [-2.0609, 4.9582, 0.0000], [-0.0393, -2.5611, 8.7334]], "species": ["Li", "Li", "Li", "Li", "Cd", "Cd", "Sn", "Sn", "Sn"], "fractional_positions": [[0.0021, 0.4972, 0.1759], [0.3258, 0.1589, 0.6066], [0.6742, 0.8411, 0.3934], [0.9979, 0.5028, 0.8241], [0.3361, 0.1660, 0.2844], [0.6639, 0.8340, 0.7156], [0.0000, 0.5000, 0.5000], [0.3333, 0.1782, 0.9396], [0.6667, 0.8218, 0.0604]]}


{"formula": "Li3Cd6Sn", "functional": "PBE", "state": "optimized geometry", "magnetic_moment_mub_per_fu": 0.000, "ef_mev_per_atom": -173, "n_ef_per_ev_cell": 5.22, "lattice": [[8.1380, 0.0000, 0.0000], [0.0000, 5.0013, 0.0000], [-3.5493, 0.0000, 10.2268]], "species": ["Li", "Li", "Li", "Li", "Li", "Li", "Cd", "Cd", "Cd", "Cd", "Cd", "Cd", "Cd", "Cd", "Cd", "Cd", "Cd", "Cd", "Sn", "Sn"], "fractional_positions": [[0.0823, 0.2500, 0.2264], [0.2947, 0.7500, 0.3667], [0.2970, 0.2500, 0.0332], [0.7030, 0.7500, 0.9668], [0.7053, 0.2500, 0.6333], [0.9177, 0.7500, 0.7736], [0.0990, 0.2500, 0.7523], [0.0986, 0.7500, 0.0660], [0.3138, 0.2500, 0.5266], [0.3170, 0.7500, 0.8833], [0.4653, 0.2500, 0.3187], [0.4981, 0.7500, 0.1732], [0.5019, 0.2500, 0.8268], [0.5347, 0.7500, 0.6813], [0.6830, 0.2500, 0.1167], [0.6862, 0.7500, 0.4734], [0.9014, 0.2500, 0.9340], [0.9010, 0.7500, 0.2477], [0.1153, 0.7500, 0.5791], [0.8847, 0.2500, 0.4209]]}


{"formula": "Li4Cd2Sn", "functional": "PBE", "state": "optimized geometry", "magnetic_moment_mub_per_fu": 0.000, "ef_mev_per_atom": -279, "n_ef_per_ev_cell": 2.33, "lattice": [[-1.5018, 2.2900, 9.5024], [1.5018, -2.2900, 9.5024], [1.5018, 2.2900, -9.5024]], "species": ["Li", "Li", "Li", "Li", "Cd", "Cd", "Sn"], "fractional_positions": [[0.0676, 0.0676, 0.0000], [0.3617, 0.8617, 0.5000], [0.6383, 0.1383, 0.5000], [0.9324, 0.9324, 0.0000], [0.2053, 0.7053, 0.5000], [0.7947, 0.2947, 0.5000], [0.5000, 0.5000, 0.0000]]}


{"formula": "Li3Cd3Sn", "functional": "PBE", "state": "optimized geometry", "magnetic_moment_mub_per_fu": 0.000, "ef_mev_per_atom": 297, "n_ef_per_ev_cell": 4.10, "lattice": [[7.1940, 0.0000, 0.0000], [0.0000, 7.1940, 0.0000], [0.0000, 0.0000, 7.1940]], "species": ["Li", "Li", "Li", "Li", "Li", "Li", "Cd", "Cd", "Cd", "Cd", "Cd", "Cd", "Sn", "Sn"], "fractional_positions": [[0.0000, 0.2500, 0.5000], [0.0000, 0.7500, 0.5000], [0.2500, 0.5000, 0.0000], [0.5000, 0.0000, 0.2500], [0.5000, 0.0000, 0.7500], [0.7500, 0.5000, 0.0000], [0.0000, 0.5000, 0.2500], [0.0000, 0.5000, 0.7500], [0.2500, 0.0000, 0.5000], [0.5000, 0.2500, 0.0000], [0.5000, 0.7500, 0.0000], [0.7500, 0.0000, 0.5000], [0.0000, 0.0000, 0.0000], [0.5000, 0.5000, 0.5000]]}